Record 1
Below is CsFeAsSe2 after structural relaxation, with properties calculated at the PBE level.

Output
- energy relative to the elements, uncorrected (eV/atom) = -0.092
- DOS at the Fermi energy (states/eV/f.u.) = 3.8
- M_tot (μB/f.u.) = 2.98
- calculated total energy (eV/atom) = -4.28

Geometry as CIF:
```
data_CsFeAsSe2
_chemical_formula_sum 'Cs1 Fe1 As1 Se2'
_symmetry_space_group_name_H-M 'P 4/m m m'
_symmetry_Int_Tables_number 123
_symmetry_space_group_name_Hall '-P 4 2'
_cell_length_a 5.160
_cell_length_b 5.160
_cell_length_c 4.758
_cell_angle_alpha 90.00
_cell_angle_beta 90.00
_cell_angle_gamma 90.00
loop_
_atom_site_label
_atom_site_fract_x
_atom_site_fract_y
_atom_site_fract_z
Cs1 0.000 0.000 0.000
Fe1 0.500 0.500 0.500
As1 0.500 0.500 0.000
Se1 0.000 0.500 0.500
```


Record 2
Below is CsFeAs2Se after structural relaxation, with properties calculated at the PBE level.

Output
- energy relative to the elements, uncorrected (eV/atom) = 2.040
- DOS at the Fermi energy (states/eV/f.u.) = 9.6
- M_tot (μB/f.u.) = 3.80
- calculated total energy (eV/atom) = -2.38

Geometry as CIF:
```
data_CsFeAs2Se
_chemical_formula_sum 'Cs1 Fe1 As2 Se1'
_symmetry_space_group_name_H-M 'P 4/m m m'
_symmetry_Int_Tables_number 123
_symmetry_space_group_name_Hall '-P 4 2'
_cell_length_a 5.785
_cell_length_b 5.785
_cell_length_c 5.524
_cell_angle_alpha 90.00
_cell_angle_beta 90.00
_cell_angle_gamma 90.00
loop_
_atom_site_label
_atom_site_fract_x
_atom_site_fract_y
_atom_site_fract_z
Cs1 0.000 0.000 0.000
Fe1 0.500 0.500 0.500
As1 0.000 0.500 0.000
Se1 0.000 0.000 0.500
```


Record 3
Below is Cs3GaAs2 after structural relaxation, with properties calculated at the PBE level.

Output
- energy of formation (kJ per mole of atoms) = -41
- DOS at the Fermi energy (states/eV/f.u.) = 0.3
- M_tot (μB/f.u.) = 0.00
- calculated total energy (eV/atom) = -2.91

Geometry as CIF:
```
data_Cs3GaAs2
_chemical_formula_sum 'Cs12 Ga4 As8'
_symmetry_space_group_name_H-M 'I b a m'
_symmetry_Int_Tables_number 72
_symmetry_space_group_name_Hall '-I 2 2c'
_cell_length_a 8.663
_cell_length_b 15.687
_cell_length_c 7.116
_cell_angle_alpha 90.00
_cell_angle_beta 90.00
_cell_angle_gamma 90.00
loop_
_atom_site_label
_atom_site_fract_x
_atom_site_fract_y
_atom_site_fract_z
Cs1 0.000 0.000 0.250
Cs2 0.200 0.326 0.000
Ga1 0.000 0.500 0.250
As1 0.165 0.419 0.500
```


Record 4
Below is CsGa3As3 after structural relaxation, with properties calculated at the PBE level.

Output
- energy of formation (kJ per mole of atoms) = -32
- DOS at the Fermi energy (states/eV/f.u.) = 1.2
- M_tot (μB/f.u.) = 0.00
- calculated total energy (eV/atom) = -3.74

Geometry as CIF:
```
data_CsGa3As3
_chemical_formula_sum 'Cs2 Ga6 As6'
_symmetry_space_group_name_H-M 'P m -3 n'
_symmetry_Int_Tables_number 223
_symmetry_space_group_name_Hall '-P 4n 2 3'
_cell_length_a 7.235
_cell_length_b 7.235
_cell_length_c 7.235
_cell_angle_alpha 90.00
_cell_angle_beta 90.00
_cell_angle_gamma 90.00
loop_
_atom_site_label
_atom_site_fract_x
_atom_site_fract_y
_atom_site_fract_z
Cs1 0.000 0.000 0.000
Ga1 0.000 0.250 0.500
As1 0.000 0.500 0.250
```


Record 5
Below is Cs3Ga2As4 after structural relaxation, with properties calculated at the PBE level.

Output
- energy of formation (kJ per mole of atoms) = -38
- DOS at the Fermi energy (states/eV/f.u.) = 1.4
- M_tot (μB/f.u.) = 0.00
- calculated total energy (eV/atom) = -3.42

Geometry as CIF:
```
data_Cs3Ga2As4
_chemical_formula_sum 'Cs6 Ga4 As8'
_symmetry_space_group_name_H-M 'C 1 2/m 1'
_symmetry_Int_Tables_number 12
_cell_length_a 18.231
_cell_length_b 4.266
_cell_length_c 8.462
_cell_angle_alpha 90.00
_cell_angle_beta 113.34
_cell_angle_gamma 90.00
loop_
_symmetry_equiv_pos_as_xyz
'x,y,z'
'-x,-y,-z'
'-x,y,-z'
'x,-y,z'
'x+1/2,y+1/2,z'
'-x+1/2,-y+1/2,-z'
'-x+1/2,y+1/2,-z'
'x+1/2,-y+1/2,z'
loop_
_atom_site_label
_atom_site_fract_x
_atom_site_fract_y
_atom_site_fract_z
Cs1 0.000 0.000 0.000
Cs2 0.152 0.000 0.764
Ga1 0.171 0.500 0.428
As1 0.021 0.500 0.382
As2 0.202 0.000 0.292
```


Record 6
Below is CsGa3As3 after structural relaxation, with properties calculated at the PBE level.

Output
- energy of formation (kJ per mole of atoms) = -30
- DOS at the Fermi energy (states/eV/f.u.) = 2.0
- M_tot (μB/f.u.) = 0.00
- calculated total energy (eV/atom) = -3.72

Geometry as CIF:
```
data_CsGa3As3
_chemical_formula_sum 'Cs6 Ga18 As18'
_symmetry_space_group_name_H-M 'R -3'
_symmetry_Int_Tables_number 148
_symmetry_space_group_name_Hall '-R 3'
_cell_length_a 7.4328
_cell_length_b 7.4328
_cell_length_c 26.5643
_cell_angle_alpha 90.00
_cell_angle_beta 90.00
_cell_angle_gamma 120.00
loop_
_atom_site_label
_atom_site_fract_x
_atom_site_fract_y
_atom_site_fract_z
Cs1 0.0000 0.0000 0.1667
Ga1 0.9996 0.3343 0.3700
As1 0.9999 0.3312 0.6040
```


Record 7
Below is Cs2Ga2As after structural relaxation, with properties calculated at the PBE level.

Output
- energy of formation (kJ per mole of atoms) = -23
- DOS at the Fermi energy (states/eV/f.u.) = 0.2
- M_tot (μB/f.u.) = 0.00
- calculated total energy (eV/atom) = -2.72

Geometry as CIF:
```
data_Cs2Ga2As
_chemical_formula_sum 'Cs8 Ga8 As4'
_symmetry_space_group_name_H-M 'C 1 2/m 1'
_symmetry_Int_Tables_number 12
_cell_length_a 8.493
_cell_length_b 13.626
_cell_length_c 8.558
_cell_angle_alpha 90.00
_cell_angle_beta 118.81
_cell_angle_gamma 90.00
loop_
_symmetry_equiv_pos_as_xyz
'x,y,z'
'-x,-y,-z'
'-x,y,-z'
'x,-y,z'
'x+1/2,y+1/2,z'
'-x+1/2,-y+1/2,-z'
'-x+1/2,y+1/2,-z'
'x+1/2,-y+1/2,z'
loop_
_atom_site_label
_atom_site_fract_x
_atom_site_fract_y
_atom_site_fract_z
Cs1 0.198 0.149 0.271
Ga1 0.074 0.500 0.262
Ga2 0.245 0.000 0.933
As1 0.000 0.368 0.000
```


Record 8
Below is Cs3Ga2As2 after structural relaxation, with properties calculated at the PBE level.

Output
- energy of formation (kJ per mole of atoms) = -38
- DOS at the Fermi energy (states/eV/f.u.) = 2.5
- M_tot (μB/f.u.) = 0.00
- calculated total energy (eV/atom) = -2.96

Geometry as CIF:
```
data_Cs3Ga2As2
_chemical_formula_sum 'Cs6 Ga4 As4'
_symmetry_space_group_name_H-M 'I m m m'
_symmetry_Int_Tables_number 71
_symmetry_space_group_name_Hall '-I 2 2'
_cell_length_a 4.161
_cell_length_b 6.003
_cell_length_c 20.645
_cell_angle_alpha 90.00
_cell_angle_beta 90.00
_cell_angle_gamma 90.00
loop_
_atom_site_label
_atom_site_fract_x
_atom_site_fract_y
_atom_site_fract_z
Cs1 0.000 0.000 0.000
Cs2 0.000 0.500 0.315
Ga1 0.000 0.000 0.440
As1 0.000 0.500 0.128
```


Record 9
Below is Cs3Ga2As3 after structural relaxation, with properties calculated at the PBE level.

Output
- energy of formation (kJ per mole of atoms) = -37
- DOS at the Fermi energy (states/eV/f.u.) = 1.1
- M_tot (μB/f.u.) = 0.00
- calculated total energy (eV/atom) = -3.20

Geometry as CIF:
```
data_Cs3Ga2As3
_chemical_formula_sum 'Cs12 Ga8 As12'
_symmetry_space_group_name_H-M 'C m c m'
_symmetry_Int_Tables_number 63
_symmetry_space_group_name_Hall '-C 2c 2'
_cell_length_a 4.532
_cell_length_b 15.912
_cell_length_c 15.211
_cell_angle_alpha 90.00
_cell_angle_beta 90.00
_cell_angle_gamma 90.00
loop_
_atom_site_label
_atom_site_fract_x
_atom_site_fract_y
_atom_site_fract_z
Cs1 0.000 0.074 0.112
Cs2 0.000 0.371 0.250
Ga1 0.000 0.237 0.593
As1 0.000 0.302 0.750
As2 0.000 0.336 0.039
```


Record 10
Below is Cs2Ga2As after structural relaxation, with properties calculated at the PBE level.

Output
- energy of formation (kJ per mole of atoms) = 2
- DOS at the Fermi energy (states/eV/f.u.) = 2.7
- M_tot (μB/f.u.) = 0.00
- calculated total energy (eV/atom) = -2.46

Geometry as CIF:
```
data_Cs2Ga2As
_chemical_formula_sum 'Cs4 Ga4 As2'
_symmetry_space_group_name_H-M 'I 4/m m m'
_symmetry_Int_Tables_number 139
_symmetry_space_group_name_Hall '-I 4 2'
_cell_length_a 3.806
_cell_length_b 3.806
_cell_length_c 24.931
_cell_angle_alpha 90.00
_cell_angle_beta 90.00
_cell_angle_gamma 90.00
loop_
_atom_site_label
_atom_site_fract_x
_atom_site_fract_y
_atom_site_fract_z
Cs1 0.000 0.000 0.098
Ga1 0.000 0.500 0.250
As1 0.000 0.000 0.500
```


- DOS at the Fermi energy of number 4 (CsGa3As3)?
  1.2 states/eV/f.u.


- What is the calculated total energy in the ninth record?
  -3.20 eV/atom


- Which of these has the highest M_tot?
  CsFeAs2Se